Density functional theory data (PBE) for a relaxed structure of SiHg2Rh.

SG: Cm (8)
Total magnetization, μB per formula unit: 0.00
DOS at the Fermi energy, states/eV/atom: 0.4730
Formation energy (no corrections), kcal/mol of atoms: -3.78
V, A^3/atom: 19.87
Crystal system: monoclinic

Structure (POSCAR):
```
SiHg2Rh
1.0
2.952 -0.592 0.051
0.595 2.951 0.051
0.138 0.092 8.774
Hg Rh Si
2 1 1
direct
0.008 0.008 0.026 Hg
0.978 0.978 0.703 Hg
0.501 0.501 0.452 Rh
0.013 0.013 0.319 Si
```


Density functional theory data (PBE) for a relaxed structure of ReTcGe3.

SG: Pm-3m (221)
Energy of formation, eV/atom: 1.0846
Total magnetization, μB per formula unit: 4.05
DOS at the Fermi energy, states/eV/atom: 0.7572
V, A^3/atom: 22.26
Energy relative to the lowest polymorph listed for this composition, eV/atom: 0.853
Crystal system: cubic

Structure (POSCAR):
```
ReTcGe3
1.0
-0.434 0.261 -4.783
-4.776 -0.395 0.412
-0.370 4.787 0.294
Re Ge Tc
1 3 1
direct
0.000 0.000 0.000 Re
0.000 0.500 0.000 Ge
0.000 0.000 0.500 Ge
0.500 0.000 0.000 Ge
0.500 0.500 0.500 Tc
```


Density functional theory data (PBE) for a relaxed structure of TiAsSe2.

SG: R-3m (166)
Total magnetization, μB per formula unit: 0.81
DOS at the Fermi energy, states/eV/atom: 0.7239
Formation energy (no corrections), kcal/mol of atoms: 3.65
V, A^3/atom: 23.63
Crystal system: trigonal

Structure (POSCAR):
```
TiAsSe2
1.0
-7.566 1.363 3.629
-5.475 3.884 5.217
-6.930 4.525 1.943
As Se Ti
1 2 1
direct
0.500 0.500 0.500 As
0.900 0.900 0.900 Se
0.100 0.100 0.100 Se
0.000 0.000 0.000 Ti
```


Density functional theory data (PBE) for a relaxed structure of CaTbBi2.

SG: Fm-3m (225)
Energy of formation, eV/atom: -0.6386
Total magnetization, μB per formula unit: 0.00
DOS at the Fermi energy, states/eV/atom: 0.5543
V, A^3/atom: 30.62
Energy relative to the lowest polymorph listed for this composition, eV/atom: 0.105
Crystal system: cubic

Structure (POSCAR):
```
CaTbBi2
1.0
-1.193 3.521 4.153
-4.793 2.846 -0.049
-4.024 -1.254 3.648
Ca Tb Bi
1 1 2
direct
0.500 0.500 0.500 Ca
0.000 0.000 0.000 Tb
0.250 0.250 0.250 Bi
0.750 0.750 0.750 Bi
```


Density functional theory data (PBE) for a relaxed structure of BaZnAsOs2.

SG: P4/mmm (123)
Energy of formation, eV/atom: 1.5266
Total magnetization, μB per formula unit: 1.26
DOS at the Fermi energy, states/eV/atom: 1.3213
V, A^3/atom: 24.20
Crystal system: tetragonal

Structure (POSCAR):
```
BaZnAsOs2
1.0
4.671 0.000 0.000
0.000 5.548 0.000
0.000 0.000 4.671
Zn As Os Ba
1 1 2 1
direct
0.000 0.000 0.000 Zn
0.500 0.500 0.500 As
0.000 0.000 0.500 Os
0.500 0.000 0.000 Os
0.000 0.500 0.000 Ba
```


Density functional theory data (PBE) for a relaxed structure of TaZnTe2.

SG: R-3m (166)
Total magnetization, μB per formula unit: 0.00
DOS at the Fermi energy, states/eV/atom: 0.5935
Formation energy (no corrections), kcal/mol of atoms: -1.13
V, A^3/atom: 26.77
Crystal system: trigonal

Structure (POSCAR):
```
TaZnTe2
1.0
9.511 0.175 0.104
8.745 3.745 0.104
8.745 1.878 3.242
Ta Te Zn
1 2 1
direct
0.750 0.750 0.750 Ta
0.016 0.016 0.016 Te
0.484 0.484 0.484 Te
0.250 0.250 0.250 Zn
```


Density functional theory data (PBE) for a relaxed structure of TbGdAlRu.

SG: F-43m (216)
Energy of formation, eV/atom: -0.3200
Total magnetization, μB per formula unit: 7.01
DOS at the Fermi energy, states/eV/atom: 0.6275
V, A^3/atom: 21.93
Crystal system: cubic

Structure (POSCAR):
```
TbGdAlRu
1.0
-0.344 4.481 2.161
0.009 0.377 4.973
3.947 1.947 2.346
Ru Gd Tb Al
1 1 1 1
direct
0.250 0.250 0.250 Ru
0.500 0.500 0.500 Gd
0.000 0.000 0.000 Tb
0.750 0.750 0.750 Al
```


Density functional theory data (PBE) for a relaxed structure of SrHgPt.

SG: P-6m2 (187)
Energy of formation, eV/atom: -0.6019
Total magnetization, μB per formula unit: 0.00
DOS at the Fermi energy, states/eV/atom: 0.3519
V, A^3/atom: 26.37
Crystal system: hexagonal

Structure (POSCAR):
```
SrHgPt
1.0
4.779 0.000 0.000
-2.389 4.139 0.000
0.000 0.000 4.000
Sr Hg Pt
1 1 1
direct
0.333 0.667 0.667 Sr
0.000 0.000 0.166 Hg
0.667 0.333 0.167 Pt
```


Density functional theory data (PBE) for a relaxed structure of SrLaTi3.

SG: Pm-3m (221)
Energy of formation, eV/atom: 1.0222
Total magnetization, μB per formula unit: 0.00
DOS at the Fermi energy, states/eV/atom: 1.3718
V, A^3/atom: 25.87
Energy relative to the lowest polymorph listed for this composition, eV/atom: 0.000
Crystal system: cubic

Structure (POSCAR):
```
SrLaTi3
1.0
-0.020 4.243 -2.751
-1.963 -2.542 -3.906
-4.661 1.052 1.658
Sr Ti La
1 3 1
direct
0.500 0.500 0.500 Sr
0.000 0.500 0.000 Ti
0.000 0.000 0.500 Ti
0.500 0.000 0.000 Ti
0.000 0.000 0.000 La
```


Density functional theory data (PBE) for a relaxed structure of TaPCl2.

SG: F-43m (216)
Total magnetization, μB per formula unit: 0.00
DOS at the Fermi energy, states/eV/atom: 0.5817
Formation energy (no corrections), kcal/mol of atoms: 6.11
V, A^3/atom: 17.02
Energy relative to the lowest polymorph listed for this composition, eV/atom: 0.913
Crystal system: cubic

Structure (POSCAR):
```
TaPCl2
1.0
-0.128 -1.597 4.296
4.392 1.181 0.576
-3.056 3.128 -1.378
Cl P Ta
2 1 1
direct
0.000 0.000 0.000 Cl
0.250 0.750 0.500 Cl
0.500 0.500 0.000 P
0.750 0.250 0.500 Ta
```


Density functional theory data (PBE) for a relaxed structure of ErTmAl2Pd2.

SG: P-3m1 (164)
Energy of formation, eV/atom: -0.8027
Total magnetization, μB per formula unit: 0.00
DOS at the Fermi energy, states/eV/atom: 0.8417
V, A^3/atom: 19.84
Crystal system: trigonal

Structure (POSCAR):
```
ErTmAl2Pd2
1.0
4.498 0.000 0.000
-2.249 3.896 0.000
0.000 0.000 6.795
Er Tm Al Pd
1 1 2 2
direct
0.000 0.000 0.000 Er
0.000 0.000 0.500 Tm
0.333 0.667 0.746 Al
0.667 0.333 0.254 Al
0.333 0.667 0.255 Pd
0.667 0.333 0.745 Pd
```


Density functional theory data (PBE) for a relaxed structure of ReAg2Hg.

SG: I-4m2 (119)
Energy of formation, eV/atom: 0.8654
Total magnetization, μB per formula unit: 2.37
DOS at the Fermi energy, states/eV/atom: 0.4053
V, A^3/atom: 18.11
Crystal system: tetragonal

Structure (POSCAR):
```
ReAg2Hg
1.0
4.882 -0.038 0.000
0.986 4.781 0.000
-2.934 -2.371 3.098
Re Hg Ag
1 1 2
direct
0.750 0.250 0.500 Re
0.500 0.500 0.000 Hg
0.000 0.000 0.000 Ag
0.250 0.750 0.500 Ag
```


Density functional theory data (PBE) for a relaxed structure of MgTlInPb3.

SG: P2_1/m (11)
Energy of formation, eV/atom: 0.0002
Total magnetization, μB per formula unit: 0.00
DOS at the Fermi energy, states/eV/atom: 0.4404
V, A^3/atom: 29.48
Crystal system: monoclinic

Structure (POSCAR):
```
MgTlInPb3
1.0
3.478 0.000 0.000
0.000 9.329 -1.141
0.000 -5.389 11.561
Mg Tl In Pb
2 2 2 6
direct
0.250 0.653 0.120 Mg
0.750 0.347 0.880 Mg
0.250 0.295 0.355 Tl
0.750 0.705 0.645 Tl
0.250 0.055 0.647 In
0.750 0.945 0.353 In
0.750 0.950 0.101 Pb
0.250 0.050 0.899 Pb
0.250 0.687 0.397 Pb
0.750 0.313 0.603 Pb
0.750 0.373 0.141 Pb
0.250 0.627 0.859 Pb
```


Density functional theory data (PBE) for a relaxed structure of Pd2SeF2.

SG: I4/mmm (139)
Total magnetization, μB per formula unit: 0.00
DOS at the Fermi energy, states/eV/atom: 0.5695
Formation energy (no corrections), kcal/mol of atoms: -12.05
V, A^3/atom: 13.90
Energy relative to the lowest polymorph listed for this composition, eV/atom: 0.000
Crystal system: tetragonal

Structure (POSCAR):
```
Pd2SeF2
1.0
-0.809 1.840 2.792
-0.326 -2.903 1.818
5.110 -0.254 3.767
Se Pd F
1 2 2
direct
0.000 0.000 0.000 Se
0.384 0.384 0.232 Pd
0.616 0.616 0.768 Pd
0.750 0.250 0.500 F
0.250 0.750 0.500 F
```


Density functional theory data (PBE) for a relaxed structure of NdGeBi.

SG: Fddd (70)
Energy of formation, eV/atom: -0.4615
Total magnetization, μB per formula unit: 0.00
DOS at the Fermi energy, states/eV/atom: 0.5657
V, A^3/atom: 29.59
Energy relative to the lowest polymorph listed for this composition, eV/atom: 0.195
Crystal system: orthorhombic

Structure (POSCAR):
```
NdGeBi
1.0
-2.569 -0.125 6.419
6.110 -3.238 -0.053
1.844 8.476 -1.603
Nd Bi Ge
4 4 4
direct
0.187 0.187 0.374 Nd
0.813 0.813 0.626 Nd
0.063 0.563 0.126 Nd
0.437 0.937 0.874 Nd
0.625 0.875 0.250 Bi
0.625 0.375 0.750 Bi
0.625 0.375 0.250 Bi
0.125 0.375 0.750 Bi
0.406 0.906 0.500 Ge
0.156 0.156 0.000 Ge
0.094 0.594 0.500 Ge
0.844 0.844 0.000 Ge
```


Density functional theory data (PBE) for a relaxed structure of BaSrCaPr.

SG: F-43m (216)
Energy of formation, eV/atom: 0.1441
Total magnetization, μB per formula unit: 0.00
DOS at the Fermi energy, states/eV/atom: 1.6040
V, A^3/atom: 46.53
Crystal system: cubic

Structure (POSCAR):
```
BaSrCaPr
1.0
6.409 0.000 0.000
3.204 5.550 0.000
3.204 1.850 5.233
Pr Sr Ca Ba
1 1 1 1
direct
0.750 0.750 0.750 Pr
0.250 0.250 0.250 Sr
0.500 0.500 0.500 Ca
0.000 0.000 0.000 Ba
```


Density functional theory data (PBE) for a relaxed structure of CuC.

SG: P-3m1 (164)
Energy of formation, eV/atom: 0.2204
Total magnetization, μB per formula unit: 0.00
DOS at the Fermi energy, states/eV/atom: 0.0976
V, A^3/atom: 12.55
Energy relative to the lowest polymorph listed for this composition, eV/atom: 0.000
Crystal system: trigonal

Structure (POSCAR):
```
CuC
1.0
-2.172 -0.032 -1.167
1.732 -1.659 -0.572
-3.470 -5.907 6.623
C Cu
2 2
direct
0.000 0.000 0.125 C
0.667 0.333 0.125 C
0.000 0.000 0.509 Cu
0.667 0.333 0.741 Cu
```


Density functional theory data (PBE) for a relaxed structure of PmPr2Co3.

SG: Cmcm (63)
Energy of formation, eV/atom: -0.0530
Total magnetization, μB per formula unit: 1.70
DOS at the Fermi energy, states/eV/atom: 0.5848
V, A^3/atom: 22.35
Crystal system: orthorhombic

Structure (POSCAR):
```
PmPr2Co3
1.0
-4.166 -1.871 0.686
-2.158 2.004 -7.638
3.503 -7.252 1.494
Pm Pr Co
2 4 6
direct
0.250 0.165 0.000 Pm
0.750 0.835 0.000 Pm
0.750 0.498 0.332 Pr
0.250 0.502 0.668 Pr
0.250 0.833 0.332 Pr
0.750 0.167 0.668 Pr
0.000 0.165 0.330 Co
0.500 0.835 0.670 Co
0.000 0.500 0.000 Co
0.500 0.500 0.000 Co
0.000 0.835 0.670 Co
0.500 0.165 0.330 Co
```


Density functional theory data (PBE) for a relaxed structure of KBi4O8.

SG: R-3m (166)
Total magnetization, μB per formula unit: 0.00
DOS at the Fermi energy, states/eV/atom: 0.5180
Formation energy (no corrections), kcal/mol of atoms: -23.23
V, A^3/atom: 22.25
Crystal system: trigonal

Structure (POSCAR):
```
KBi4O8
1.0
-6.854 0.461 -1.842
-4.044 -5.849 -0.147
-5.266 -0.826 5.659
K Bi O
1 4 8
direct
0.500 0.500 0.500 K
0.000 0.500 0.000 Bi
0.500 0.500 0.000 Bi
0.500 0.000 0.000 Bi
0.000 0.000 0.000 Bi
0.703 0.232 0.834 O
0.768 0.297 0.166 O
0.297 0.768 0.166 O
0.768 0.768 0.166 O
0.720 0.720 0.841 O
0.280 0.280 0.159 O
0.232 0.232 0.834 O
0.232 0.703 0.834 O
```


Density functional theory data (PBE) for a relaxed structure of TbTlPd6.

SG: R-3m (166)
Energy of formation, eV/atom: -0.0875
Total magnetization, μB per formula unit: 0.00
DOS at the Fermi energy, states/eV/atom: 0.4785
V, A^3/atom: 20.55
Energy relative to the lowest polymorph listed for this composition, eV/atom: 0.451
Crystal system: trigonal

Structure (POSCAR):
```
TbTlPd6
1.0
-2.188 2.455 4.411
2.365 -3.332 3.684
4.315 3.272 0.975
Tb Tl Pd
1 1 6
direct
0.000 0.000 0.000 Tb
0.500 0.500 0.500 Tl
0.160 0.531 0.160 Pd
0.160 0.160 0.531 Pd
0.840 0.469 0.840 Pd
0.469 0.840 0.840 Pd
0.840 0.840 0.469 Pd
0.531 0.160 0.160 Pd
```